Record 1
# Pr3Sm6Sc

A relaxed structure of Pr3Sm6Sc (PBE, Alexandria).

Cell and atoms, written as POSCAR:
```
Pr3Sm6Sc
1.0
-2.8623 -2.0314 -7.5839
1.0352 -8.8603 1.9826
-2.9614 1.7368 5.2566
Pr Sm Sc
3 6 1
direct
0.7804 0.2471 0.5608
0.2196 0.7529 0.4392
0.0000 0.0000 0.0000
0.3064 0.3598 0.2398
0.0666 0.6402 0.7602
0.6936 0.6402 0.7602
0.9334 0.3598 0.2398
0.3831 0.1371 0.7663
0.6169 0.8629 0.2337
0.5000 0.5000 0.0000
```

Calculated values
DOS at the Fermi energy in states/eV/f.u.: 13.65
ΔE to the lowest computed polymorph in meV/atom: 126
Formation energy in eV per atom: 0.27
SG: C2/m, No. 12
Energy in eV/atom: -4.632

---

Record 2
# RbVAs2Se

A relaxed structure of RbVAs2Se (PBE, Alexandria).

Cell and atoms, written as POSCAR:
```
RbVAs2Se
1.0
5.4390 0.0000 0.0000
0.0000 5.4390 0.0000
0.0000 0.0000 5.5859
As Se Rb V
2 1 1 1
direct
0.0000 0.5000 0.0000
0.5000 0.0000 0.0000
0.0000 0.0000 0.5000
0.0000 0.0000 0.0000
0.5000 0.5000 0.5000
```

Calculated values
DOS at the Fermi energy in states/eV/f.u.: 8.14
Formation energy (no corrections) in meV per atom: 2040
ΔE to the lowest computed polymorph in meV/atom: 2264
SG: P4/mmm, No. 123
Energy in eV/atom: -2.534

---

Record 3
# Ag3W

A relaxed structure of Ag3W (PBE, Alexandria).

Cell and atoms, written as POSCAR:
```
Ag3W
1.0
9.9248 -0.0100 -0.0058
9.5186 2.8106 -0.0058
9.5186 1.3711 2.4535
Ag W
3 1
direct
0.0008 0.0008 0.0008
0.2500 0.2500 0.2500
0.4992 0.4992 0.4992
0.7500 0.7500 0.7500
```

Calculated values
DOS at the Fermi energy in states/eV/f.u.: 3.92
ΔE to the lowest computed polymorph in meV/atom: 15
Formation energy in eV per atom: 0.40
SG: R-3m, No. 166
Energy in eV/atom: -4.973

---

- DOS at the Fermi energy of number 1 (Pr3Sm6Sc)?
  13.65 states/eV/f.u.

---

- Among the records above, which one has the lowest energy?
  Ag3W

---

- Which of these has the lowest ΔE to the lowest computed polymorph?
  Ag3W